KSrSn4 (PBE-GGA, optimized geometry); energy = -20.8 eV/cell; N(E_F) = 0.38 states/eV/atom; crystal system = monoclinic
1.0
3.905 -2.256 0.000
3.905 2.256 0.000
-2.581 0.000 12.472
K Sr Sn
1 1 4
Direct
0.000 0.000 0.000
0.500 0.500 0.500
0.106 0.106 0.318
0.403 0.403 0.208
0.597 0.597 0.792
0.894 0.894 0.682